[1]
First-principles (PBE) data for an optimized crystal structure of La9Tb2Pr, as listed in the Alexandria database.

Unit cell a=5.223 b=5.223 c=15.700 alpha=90.00 beta=90.00 gamma=90.00
Atoms (fractional coordinates):
La: 0.000 0.000 0.000
La: 0.000 0.000 0.335
La: 0.000 0.000 0.665
La: 0.000 0.500 0.169
La: 0.000 0.500 0.500
La: 0.000 0.500 0.831
La: 0.500 0.000 0.169
La: 0.500 0.000 0.500
La: 0.500 0.000 0.831
Tb: 0.500 0.500 0.335
Tb: 0.500 0.500 0.665
Pr: 0.500 0.500 0.000

Properties
Its theoretical density is 6.63 g/cm³. The calculation puts the energy relative to the elements at 8.0 kJ/mol of formula units. The space group is P4/mmm, No. 123. The density of states at the Fermi level comes out at 1.53 states/eV/atom.

[2]
First-principles (PBE) data for an optimized crystal structure of Pm2CoP3Ir4, as listed in the Alexandria database.

Unit cell a=4.110 b=4.110 c=9.832 alpha=90.00 beta=90.00 gamma=90.00
Atoms (fractional coordinates):
Pm: 0.000 0.500 0.244
Pm: 0.500 0.000 0.756
Co: 0.500 0.500 0.000
P: 0.000 0.000 0.000
P: 0.000 0.500 0.639
P: 0.500 0.000 0.361
Ir: 0.000 0.000 0.500
Ir: 0.000 0.500 0.874
Ir: 0.500 0.000 0.126
Ir: 0.500 0.500 0.500

Properties
Its theoretical density is 12.11 g/cm³. The calculation puts the energy relative to the elements at -834.7 kJ/mol of formula units. The space group is P-4m2, No. 115. The density of states at the Fermi level comes out at 0.50 states/eV/atom.